# 1
Zn2IrPbC: relaxed, PBE-GGA.

Unit cell a=5.2560 b=5.1813 c=5.2560 alpha=90.00 beta=90.00 gamma=90.00
With the nearest neighbours (Å) after each atom.
Sites, in units of the cell vectors:
Pb 0.0000 0.0000 0.0000  2 Ir 2.59, 4 Zn 2.63
Zn 0.0000 0.0000 0.5000  2 Pb 2.63
Zn 0.5000 0.0000 0.0000  2 Pb 2.63
Ir 0.0000 0.5000 0.0000  2 Pb 2.59
C 0.5000 0.5000 0.5000  8 Zn 3.69, 4 Ir 3.72

Formation energy from the elements = 2.441 eV/atom
V = 143.1 Å³ per cell
Symmetry = No. 123


# 2
BeAlCd2: relaxed, PBE-GGA.

Unit cell a=5.7797 b=5.7797 c=3.0903 alpha=70.82 beta=70.82 gamma=114.97
With the nearest neighbours (Å) after each atom.
Sites, in units of the cell vectors:
Be 0.0000 0.5000 0.5000  2 Al 2.73, 4 Cd 2.79
Al 0.5000 0.0000 0.5000  2 Be 2.73, 4 Cd 2.79
Cd 0.0000 0.0000 0.0000  2 Cd 2.73, 2 Be 2.79, 2 Al 2.79
Cd 0.5000 0.5000 0.0000  2 Cd 2.73, 2 Al 2.79, 2 Be 2.79

Formation energy from the elements = 0.405 eV/atom
V = 74.1 Å³ per cell
Symmetry = No. 12
Distance to the lowest polymorph of the same formula = 190 meV per atom


# 3
KNaLa2Ru: relaxed, PBE-GGA.

Unit cell a=5.3953 b=5.3953 c=6.5233 alpha=90.00 beta=90.00 gamma=90.00
With the nearest neighbours (Å) after each atom.
Sites, in units of the cell vectors:
Ru 0.0000 0.0000 0.0000  4 La 2.70
K 0.5000 0.5000 0.5000  4 Na 3.82, 8 La 4.23
Na 0.0000 0.0000 0.5000  2 Ru 3.26
La 0.0000 0.5000 0.0000  2 Ru 2.70
La 0.5000 0.0000 0.0000  2 Ru 2.70

Formation energy from the elements = 0.064 eV/atom
V = 189.9 Å³ per cell
Symmetry = No. 123
Distance to the lowest polymorph of the same formula = 0 meV per atom


# 4
MnPSe2: relaxed, PBE-GGA.

Unit cell a=4.6674 b=4.6674 c=3.7505 alpha=90.00 beta=90.00 gamma=105.79
With the nearest neighbours (Å) after each atom.
Sites, in units of the cell vectors:
Mn 0.5000 0.5000 0.5000  4 Se 2.65, 2 P 2.82
P 0.0000 0.0000 0.5000  4 Se 2.63, 2 Mn 2.82
Se 0.7518 0.2482 0.0000  2 P 2.63, 2 Mn 2.65, 2 Se 2.82
Se 0.2482 0.7518 0.0000  2 P 2.63, 2 Mn 2.65, 2 Se 2.82

V = 78.6 Å³ per cell
Symmetry = No. 65
ΔE_f (raw) = 3.5 kcal/mol of atoms


# 5
Pm2Pr4YTm2: relaxed, PBE-GGA.

Unit cell a=5.1554 b=8.1574 c=8.0971 alpha=107.62 beta=90.00 gamma=108.42
With the nearest neighbours (Å) after each atom.
Sites, in units of the cell vectors:
Pm 0.8881 0.7763 0.3300  3 Tm 3.60-3.61, 1 Y 3.62, 7 Pr 3.63-3.68, 1 Pm 3.67
Pm 0.1119 0.2237 0.6700  3 Tm 3.60-3.61, 1 Y 3.62, 7 Pr 3.63-3.68, 1 Pm 3.67
Pr 0.7775 0.5550 0.6705  3 Tm 3.59-3.61, 1 Y 3.62, 3 Pm 3.63-3.68, 5 Pr 3.66-3.67
Pr 0.2225 0.4450 0.3295  3 Tm 3.59-3.61, 1 Y 3.62, 3 Pm 3.63-3.68, 5 Pr 3.66-3.67
Pr 0.5545 0.1089 0.3304  2 Y 3.62, 2 Tm 3.62-3.64, 4 Pm 3.64-3.67, 4 Pr 3.65-3.67
Pr 0.4455 0.8911 0.6696  2 Y 3.62, 2 Tm 3.62-3.64, 4 Pm 3.64-3.67, 4 Pr 3.65-3.67
Y 0.0000 0.0000 0.0000  6 Pr 3.62, 2 Pm 3.62, 4 Tm 3.66
Tm 0.3323 0.6646 0.0005  5 Pr 3.59-3.64, 3 Pm 3.60-3.61, 2 Tm 3.62, 2 Y 3.66
Tm 0.6677 0.3354 0.9995  5 Pr 3.59-3.64, 3 Pm 3.60-3.61, 2 Tm 3.62, 2 Y 3.66

Formation energy from the elements = 0.024 eV/atom
V = 306.2 Å³ per cell
Symmetry = No. 12


# 6
LaWS2N: relaxed, PBE-GGA.

Unit cell a=5.4174 b=5.4174 c=3.9095 alpha=90.00 beta=90.00 gamma=90.00
With the nearest neighbours (Å) after each atom.
Sites, in units of the cell vectors:
S 0.0000 0.5000 0.0000  2 La 2.71
S 0.5000 0.0000 0.0000  2 La 2.71
N 0.0000 0.0000 0.5000  2 La 1.95
W 0.5000 0.5000 0.5000  8 S 3.34
La 0.0000 0.0000 0.0000  2 N 1.95

V = 114.7 Å³ per cell
Symmetry = No. 123
Distance to the lowest polymorph of the same formula = 2327 meV per atom
ΔE_f (raw) = 31.8 kcal/mol of atoms


# 7
Ca2TaW: relaxed, PBE-GGA.

Unit cell a=4.0509 b=4.0509 c=5.3128 alpha=90.00 beta=90.00 gamma=90.00
With the nearest neighbours (Å) after each atom.
Sites, in units of the cell vectors:
Ca 0.0000 0.0000 0.0000  4 Ca 2.86
Ca 0.5000 0.5000 0.0000  4 Ca 2.86
W 0.0000 0.5000 0.5000  4 Ta 2.86
Ta 0.5000 0.0000 0.5000  4 W 2.86

Formation energy from the elements = 0.877 eV/atom
V = 87.2 Å³ per cell
Symmetry = No. 123
Distance to the lowest polymorph of the same formula = 478 meV per atom


# 8
PrPu2Cu2Si2: relaxed, PBE-GGA.

Unit cell a=3.9791 b=3.9791 c=9.4546 alpha=77.85 beta=77.85 gamma=60.00
With the nearest neighbours (Å) after each atom.
Sites, in units of the cell vectors:
Pr 0.0000 0.0000 0.0000  6 Cu 3.16, 6 Si 3.16
Pu 0.1506 0.1506 0.5481  3 Pu 2.46
Pu 0.8494 0.8494 0.4519  3 Pu 2.46
Cu 0.5879 0.5879 0.2363  3 Si 2.30
Cu 0.4121 0.4121 0.7637  3 Si 2.30
Si 0.7455 0.7455 0.7635  3 Cu 2.30
Si 0.2545 0.2545 0.2365  3 Cu 2.30

V = 125.8 Å³ per cell
Symmetry = No. 166
ΔE_f (raw) = -7.4 kcal/mol of atoms


Repeat the second record exactly.
BeAlCd2: relaxed, PBE-GGA.

Unit cell a=5.7797 b=5.7797 c=3.0903 alpha=70.82 beta=70.82 gamma=114.97
With the nearest neighbours (Å) after each atom.
Sites, in units of the cell vectors:
Be 0.0000 0.5000 0.5000  2 Al 2.73, 4 Cd 2.79
Al 0.5000 0.0000 0.5000  2 Be 2.73, 4 Cd 2.79
Cd 0.0000 0.0000 0.0000  2 Cd 2.73, 2 Be 2.79, 2 Al 2.79
Cd 0.5000 0.5000 0.0000  2 Cd 2.73, 2 Al 2.79, 2 Be 2.79

Formation energy from the elements = 0.405 eV/atom
V = 74.1 Å³ per cell
Symmetry = No. 12
Distance to the lowest polymorph of the same formula = 190 meV per atom